[1]
{
  "formula": "RbCdAuS2",
  "functional": "GGA-PBE",
  "state": "optimized geometry",
  "lattice": [[13.880, 0.000, 0.000], [0.000, 5.845, 0.000], [0.000, 0.000, 6.864]],
  "species": ["Cd", "S", "Au", "Cd", "Rb", "S", "S", "S", "S", "Cd", "Rb", "Cd", "Rb", "S", "Au", "Au", "S", "Rb", "Au", "S"],
  "frac_coords": [[0.750, 0.000, 0.063], [0.364, 0.794, 0.685], [0.750, 0.500, 0.817], [0.250, 0.000, 0.437], [0.500, 0.278, 0.750], [0.864, 0.794, 0.315], [0.136, 0.794, 0.185], [0.136, 0.206, 0.685], [0.636, 0.794, 0.815], [0.250, 0.000, 0.937], [0.000, 0.722, 0.750], [0.750, 0.000, 0.563], [0.500, 0.722, 0.250], [0.636, 0.206, 0.315], [0.250, 0.500, 0.183], [0.250, 0.500, 0.683], [0.864, 0.206, 0.815], [0.000, 0.278, 0.250], [0.750, 0.500, 0.317], [0.364, 0.206, 0.185]],
  "energy_ev_per_atom": -3.3825
}

[2]
{
  "formula": "NdErGa",
  "functional": "GGA-PBE",
  "state": "optimized geometry",
  "lattice": [[0.000, 3.542, 3.542], [3.542, 0.000, 3.542], [3.542, 3.542, 0.000]],
  "species": ["Er", "Ga", "Nd"],
  "frac_coords": [[0.250, 0.250, 0.250], [0.000, 0.000, 0.000], [0.750, 0.750, 0.750]],
  "energy_ev_per_atom": -4.3529
}

[3]
{
  "formula": "ScAu2",
  "functional": "GGA-PBE",
  "state": "optimized geometry",
  "lattice": [[-3.539, 0.000, 0.000], [0.000, -3.539, 0.000], [1.770, 1.770, 4.391]],
  "species": ["Au", "Sc", "Au"],
  "frac_coords": [[0.337, 0.337, 0.674], [0.000, 0.000, 0.000], [0.663, 0.663, 0.326]],
  "formation_energy_ev_per_atom": -0.816,
  "energy_ev_per_atom": -5.1036
}

[4]
{
  "formula": "Ho3Hf3Bi2Os",
  "functional": "GGA-PBE",
  "state": "optimized geometry",
  "lattice": [[8.140, 0.000, 0.000], [-4.070, 7.049, 0.000], [0.000, 0.000, 3.861]],
  "species": ["Os", "Bi", "Bi", "Ho", "Ho", "Hf", "Hf", "Ho", "Hf"],
  "frac_coords": [[0.000, 0.000, 0.000], [0.333, 0.667, 0.500], [0.667, 0.333, 0.500], [0.248, 0.248, 0.500], [0.752, 0.000, 0.500], [0.625, 0.625, 0.000], [0.000, 0.375, 0.000], [0.000, 0.752, 0.500], [0.375, 0.000, 0.000]],
  "e_above_lowest_polymorph_kj_per_mol_atoms": 27.8,
  "energy_ev_per_atom": -7.1745
}

[5]
{
  "formula": "MgHgSeO",
  "functional": "GGA-PBE",
  "state": "optimized geometry",
  "lattice": [[-4.616, 1.921, 2.709], [-0.993, -3.430, 0.739], [7.547, 0.507, 12.501]],
  "species": ["Hg", "O", "O", "Se", "Hg", "Hg", "Mg", "O", "Se", "Se", "Hg", "Mg", "Mg", "O", "Mg", "Se"],
  "frac_coords": [[0.281, 0.750, 0.807], [0.251, 0.750, 0.658], [0.249, 0.250, 0.158], [0.749, 0.250, 0.563], [0.219, 0.250, 0.307], [0.781, 0.750, 0.693], [0.266, 0.250, 0.600], [0.749, 0.250, 0.342], [0.751, 0.750, 0.063], [0.251, 0.750, 0.437], [0.719, 0.250, 0.193], [0.234, 0.750, 0.100], [0.766, 0.250, 0.900], [0.751, 0.750, 0.842], [0.734, 0.750, 0.400], [0.249, 0.250, 0.937]],
  "e_above_lowest_polymorph_kj_per_mol_atoms": 23.3,
  "energy_ev_per_atom": -3.5217
}

[6]
{
  "formula": "NpAlGe2",
  "functional": "GGA-PBE",
  "state": "optimized geometry",
  "lattice": [[4.331, 0.000, 0.000], [0.000, 4.331, 0.000], [0.000, 0.000, 4.015]],
  "species": ["Np", "Al", "Ge", "Ge"],
  "frac_coords": [[0.500, 0.500, 0.500], [0.000, 0.000, 0.500], [0.000, 0.500, 0.000], [0.500, 0.000, 0.000]],
  "energy_ev_per_atom": -6.7145
}

[7]
{
  "formula": "LuBiAsO",
  "functional": "GGA-PBE",
  "state": "optimized geometry",
  "lattice": [[-0.712, 4.267, -2.030], [-1.695, -2.147, -3.919], [-6.890, 0.214, 2.863]],
  "species": ["O", "As", "Bi", "Bi", "Lu", "As", "O", "Lu"],
  "frac_coords": [[0.750, 0.250, 0.000], [0.250, 0.250, 0.685], [0.750, 0.750, 0.918], [0.250, 0.250, 0.082], [0.250, 0.750, 0.500], [0.750, 0.750, 0.315], [0.250, 0.750, 0.000], [0.750, 0.250, 0.500]],
  "e_above_lowest_polymorph_kj_per_mol_atoms": 52.5,
  "energy_ev_per_atom": -5.3164
}

[8]
{
  "formula": "GdZrFe",
  "functional": "GGA-PBE",
  "state": "optimized geometry",
  "lattice": [[-4.307, 0.027, 1.631], [-3.470, 1.398, -2.686], [-3.074, -3.052, -1.564]],
  "species": ["Zr", "Fe", "Gd"],
  "frac_coords": [[0.750, 0.750, 0.750], [0.250, 0.250, 0.250], [0.000, 0.000, 0.000]],
  "formation_energy_ev_per_atom": 1.158,
  "e_above_lowest_polymorph_kj_per_mol_atoms": 92.2,
  "energy_ev_per_atom": -6.0116
}

- What is the formula in the seventh record?
  LuBiAsO